This record from Alexandria via LeMat-Bulk describes crystalline BaCdTc at its relaxed geometry. The functional is GGA-PBE.

Calculated values
As for the formation energy: 1.405 eV/atom. The value obtained for the volume is 110.9 Å³/f.u. As for the energy relative to the lowest polymorph listed for this composition: 0.738 eV/atom. The symmetry is F-43m. As for the uncorrected energy: -0.2203 Ry/atom.

Cell: 7.6259 7.6259 7.6259 Å, 90.00 90.00 90.00°
With the nearest neighbours (Å) after each atom.
Positions (direct):
Ba  0.0000  0.0000  0.0000  4 Cd 3.30, 4 Tc 3.30
Ba  0.0000  0.5000  0.5000  4 Cd 3.30, 4 Tc 3.30
Ba  0.5000  0.0000  0.5000  4 Cd 3.30, 4 Tc 3.30
Ba  0.5000  0.5000  0.0000  4 Cd 3.30, 4 Tc 3.30
Cd  0.2500  0.2500  0.2500  4 Ba 3.30
Cd  0.2500  0.7500  0.7500  4 Ba 3.30
Cd  0.7500  0.2500  0.7500  4 Ba 3.30
Cd  0.7500  0.7500  0.2500  4 Ba 3.30
Tc  0.2500  0.2500  0.7500  4 Ba 3.30
Tc  0.2500  0.7500  0.2500  4 Ba 3.30
Tc  0.7500  0.2500  0.2500  4 Ba 3.30
Tc  0.7500  0.7500  0.7500  4 Ba 3.30

This record from Alexandria via LeMat-Bulk describes crystalline RbSn2I at its relaxed geometry. The functional is GGA-PBE.

Calculated values
The uncorrected formation energy comes out at 0.2677 eV per atom. The value obtained for the volume is 145.0 Å³/f.u. As for the energy relative to the lowest polymorph listed for this composition: 0.224 eV/atom. The symmetry is Fm-3m. As for the uncorrected energy: -0.1737 Ry/atom.

Cell: 8.3390 8.3390 8.3390 Å, 90.00 90.00 90.00°
With the nearest neighbours (Å) after each atom.
Positions (direct):
Rb  0.0000  0.0000  0.0000  8 Sn 3.61
Rb  0.0000  0.5000  0.5000  8 Sn 3.61
Rb  0.5000  0.0000  0.5000  8 Sn 3.61
Rb  0.5000  0.5000  0.0000  8 Sn 3.61
Sn  0.2500  0.2500  0.2500  4 I 3.61, 4 Rb 3.61
Sn  0.2500  0.2500  0.7500  4 Rb 3.61, 4 I 3.61
Sn  0.2500  0.7500  0.2500  4 Rb 3.61, 4 I 3.61
Sn  0.2500  0.7500  0.7500  4 I 3.61, 4 Rb 3.61
Sn  0.7500  0.2500  0.2500  4 Rb 3.61, 4 I 3.61
Sn  0.7500  0.2500  0.7500  4 I 3.61, 4 Rb 3.61
Sn  0.7500  0.7500  0.2500  4 I 3.61, 4 Rb 3.61
Sn  0.7500  0.7500  0.7500  4 Rb 3.61, 4 I 3.61
I  0.0000  0.0000  0.5000  8 Sn 3.61
I  0.0000  0.5000  0.0000  8 Sn 3.61
I  0.5000  0.0000  0.0000  8 Sn 3.61
I  0.5000  0.5000  0.5000  8 Sn 3.61

This record from Alexandria via LeMat-Bulk describes crystalline KHo3Ag2Se6 at its relaxed geometry. The functional is GGA-PBE.

Calculated values
The uncorrected formation energy comes out at -1.3419 eV per atom. The value obtained for the volume is 319.8 Å³/f.u. The symmetry is C2/m. As for the uncorrected energy: -0.3524 Ry/atom.

Cell: 10.0681 10.0681 8.2122 Å, 106.69 106.69 23.69°
With the nearest neighbours (Å) after each atom.
Positions (direct):
K  0.0000  0.0000  0.0000  6 Se 3.10-3.36
Ho  0.0000  0.0000  0.5000  6 Se 2.80-2.96
Ho  0.3277  0.3277  0.1891  6 Se 2.82-2.94
Ho  0.6723  0.6723  0.8109  6 Se 2.82-2.94
Ag  0.2992  0.2992  0.6829  3 Se 2.73-2.85
Ag  0.7008  0.7008  0.3171  3 Se 2.73-2.85
Se  0.1549  0.1549  0.5516  1 Ag 2.73, 3 Ho 2.92-2.96
Se  0.1766  0.1766  0.0683  2 Ag 2.85, 3 Ho 2.85-2.94
Se  0.4765  0.4765  0.2599  3 Ho 2.80-2.82, 2 K 3.10
Se  0.5235  0.5235  0.7401  3 Ho 2.80-2.82, 2 K 3.10
Se  0.8234  0.8234  0.9317  2 Ag 2.85, 3 Ho 2.85-2.94
Se  0.8451  0.8451  0.4484  1 Ag 2.73, 3 Ho 2.92-2.96

This record from Alexandria via LeMat-Bulk describes crystalline TaNbSN2 at its relaxed geometry. The functional is GGA-PBE.

Calculated values
The uncorrected formation energy comes out at 0.2151 eV per atom. The value obtained for the volume is 77.6 Å³/f.u. As for the energy relative to the lowest polymorph listed for this composition: 0.000 eV/atom. The symmetry is P4/mmm. As for the uncorrected energy: -0.6119 Ry/atom.

Cell: 4.0034 4.0034 4.8430 Å, 90.00 90.00 90.00°
With the nearest neighbours (Å) after each atom.
Positions (direct):
Ta  0.0000  0.0000  0.0000  4 N 2.00
Nb  0.5000  0.5000  0.5000  4 S 2.83, 8 N 3.14
S  0.0000  0.0000  0.5000  2 Ta 2.42
N  0.0000  0.5000  0.0000  2 Ta 2.00
N  0.5000  0.0000  0.0000  2 Ta 2.00

This record from Alexandria via LeMat-Bulk describes crystalline YHoGePt at its relaxed geometry. The functional is GGA-PBE.

Calculated values
As for the formation energy: -1.082 eV/atom. The value obtained for the volume is 90.8 Å³/f.u. As for the energy relative to the lowest polymorph listed for this composition: 0.000 eV/atom. The symmetry is Amm2. As for the uncorrected energy: -0.4782 Ry/atom.

Cell: 4.2866 3.9119 10.8240 Å, 90.00 90.00 90.00°
With the nearest neighbours (Å) after each atom.
Positions (direct):
Y  0.0000  0.0000  0.0000  4 Pt 2.96, 3 Ge 3.02-3.09
Y  0.0000  0.5000  0.5000  4 Pt 2.96, 3 Ge 3.02-3.09
Ho  0.5000  0.0000  0.2794  4 Ge 2.97, 3 Pt 2.99-3.11
Ho  0.5000  0.5000  0.7794  4 Ge 2.97, 3 Pt 2.99-3.11
Ge  0.0000  0.0000  0.7214  2 Pt 2.79, 4 Ho 2.97, 3 Y 3.02-3.09
Ge  0.0000  0.5000  0.2214  2 Pt 2.79, 4 Ho 2.97, 3 Y 3.02-3.09
Pt  0.5000  0.0000  0.5561  2 Ge 2.79, 4 Y 2.96, 3 Ho 2.99-3.11
Pt  0.5000  0.5000  0.0561  2 Ge 2.79, 4 Y 2.96, 3 Ho 2.99-3.11

This record from Alexandria via LeMat-Bulk describes crystalline Sr2As2Br at its relaxed geometry. The functional is GGA-PBE.

Calculated values
The uncorrected formation energy comes out at -1.0523 eV per atom. The value obtained for the volume is 162.1 Å³/f.u. As for the energy relative to the lowest polymorph listed for this composition: 0.144 eV/atom. The symmetry is I4/mmm. As for the uncorrected energy: -0.2881 Ry/atom.

Cell: 5.8437 5.8437 9.4916 Å, 90.00 90.00 90.00°
With the nearest neighbours (Å) after each atom.
Positions (direct):
Sr  0.0000  0.5000  0.2500  4 As 3.15
Sr  0.0000  0.5000  0.7500  4 As 3.15
Sr  0.5000  0.0000  0.2500  4 As 3.15
Sr  0.5000  0.0000  0.7500  4 As 3.15
As  0.0000  0.0000  0.1251  1 As 2.38
As  0.0000  0.0000  0.8749  1 As 2.38
As  0.5000  0.5000  0.3749  1 As 2.38
As  0.5000  0.5000  0.6251  1 As 2.38
Br  0.0000  0.0000  0.5000  2 As 3.56, 8 Sr 3.76
Br  0.5000  0.5000  0.0000  2 As 3.56, 8 Sr 3.76

This record from Alexandria via LeMat-Bulk describes crystalline SbBrCl2 at its relaxed geometry. The functional is GGA-PBE.

Calculated values
The uncorrected formation energy comes out at -0.4970 eV per atom. The value obtained for the volume is 132.8 Å³/f.u. As for the energy relative to the lowest polymorph listed for this composition: 0.276 eV/atom. The symmetry is Immm. As for the uncorrected energy: -0.2109 Ry/atom.

Cell: 3.6102 5.3744 13.6936 Å, 90.00 90.00 90.00°
With the nearest neighbours (Å) after each atom.
Positions (direct):
Sb  0.0000  0.0000  0.0000  4 Cl 2.70
Sb  0.5000  0.5000  0.5000  4 Cl 2.70
Br  0.0000  0.0000  0.5000  4 Sb 3.24, 4 Cl 3.36, 2 Br 3.61
Br  0.5000  0.5000  0.0000  4 Sb 3.24, 4 Cl 3.36, 2 Br 3.61
Cl  0.0000  0.5000  0.3529  2 Sb 2.70
Cl  0.0000  0.5000  0.6471  2 Sb 2.70
Cl  0.5000  0.0000  0.1471  2 Sb 2.70
Cl  0.5000  0.0000  0.8529  2 Sb 2.70

This record from Alexandria via LeMat-Bulk describes crystalline Ce2MnRhS5 at its relaxed geometry. The functional is GGA-PBE.

Calculated values
The uncorrected formation energy comes out at -1.3298 eV per atom. The value obtained for the volume is 174.5 Å³/f.u. The symmetry is Cmc2_1. As for the uncorrected energy: -0.4981 Ry/atom.

Cell: 8.7411 8.7411 10.5589 Å, 90.00 90.00 154.37°
With the nearest neighbours (Å) after each atom.
Positions (direct):
Ce  0.1075  0.8925  0.5000  8 S 2.84-3.17
Ce  0.1208  0.8792  0.8981  7 S 2.83-2.90
Ce  0.8792  0.1208  0.3981  7 S 2.83-2.90
Ce  0.8925  0.1075  0.0000  8 S 2.84-3.17
Mn  0.2142  0.7858  0.1962  5 S 2.41-2.58
Mn  0.7858  0.2142  0.6962  5 S 2.41-2.58
Rh  0.4005  0.5995  0.6817  5 S 2.35-2.45
Rh  0.5995  0.4005  0.1817  5 S 2.35-2.45
S  0.0276  0.9724  0.2638  2 Rh 2.45
S  0.2919  0.7081  0.5406  1 Rh 2.38, 2 Mn 2.54
S  0.3061  0.6939  0.8540  1 Rh 2.43, 2 Mn 2.58
S  0.3554  0.6446  0.2000  1 Mn 2.41
S  0.4819  0.5181  0.5015  1 Rh 2.35
S  0.5181  0.4819  0.0015  1 Rh 2.35
S  0.6446  0.3554  0.7000  1 Mn 2.41
S  0.6939  0.3061  0.3540  1 Rh 2.43, 2 Mn 2.58
S  0.7081  0.2919  0.0406  1 Rh 2.38, 2 Mn 2.54
S  0.9724  0.0276  0.7638  2 Rh 2.45

This record from Alexandria via LeMat-Bulk describes crystalline Cd2InGa2 at its relaxed geometry. The functional is GGA-PBE.

Calculated values
As for the formation energy: 0.081 eV/atom. The value obtained for the volume is 117.1 Å³/f.u. As for the energy relative to the lowest polymorph listed for this composition: 0.015 eV/atom. The symmetry is I4/mmm. As for the uncorrected energy: -0.1502 Ry/atom.

Cell: 4.1765 4.1765 13.4256 Å, 90.00 90.00 90.00°
With the nearest neighbours (Å) after each atom.
Positions (direct):
Cd  0.0000  0.0000  0.1050  1 Cd 2.82, 4 Ga 2.85
Cd  0.0000  0.0000  0.8950  1 Cd 2.82, 4 Ga 2.85
Cd  0.5000  0.5000  0.3950  1 Cd 2.82, 4 Ga 2.85
Cd  0.5000  0.5000  0.6050  1 Cd 2.82, 4 Ga 2.85
In  0.0000  0.0000  0.5000  8 Cd 3.27
In  0.5000  0.5000  0.0000  8 Cd 3.27
Ga  0.0000  0.5000  0.2500  4 Cd 2.85, 4 Ga 2.95
Ga  0.0000  0.5000  0.7500  4 Cd 2.85, 4 Ga 2.95
Ga  0.5000  0.0000  0.2500  4 Cd 2.85, 4 Ga 2.95
Ga  0.5000  0.0000  0.7500  4 Cd 2.85, 4 Ga 2.95

This record from Alexandria via LeMat-Bulk describes crystalline Li4SnRh at its relaxed geometry. The functional is GGA-PBE.

Calculated values
As for the formation energy: -0.188 eV/atom. The value obtained for the volume is 96.5 Å³/f.u. As for the energy relative to the lowest polymorph listed for this composition: 0.154 eV/atom. The symmetry is P2/m. As for the uncorrected energy: -0.2467 Ry/atom.

Cell: 2.8272 4.3962 7.7627 Å, 90.00 90.51 90.00°
With the nearest neighbours (Å) after each atom.
Positions (direct):
Li  0.0645  0.0000  0.1917  4 Li 2.61-2.83, 2 Rh 2.68-2.89
Li  0.1639  0.5000  0.6469  3 Li 2.45-2.61, 2 Rh 2.66
Li  0.8361  0.5000  0.3531  3 Li 2.45-2.61, 2 Rh 2.66
Li  0.9355  0.0000  0.8083  4 Li 2.61-2.83, 2 Rh 2.68-2.89
Sn  0.5000  0.5000  0.0000  2 Sn 2.83, 10 Li 2.89-3.09
Rh  0.5000  0.0000  0.5000  8 Li 2.66-2.89, 2 Rh 2.83

This record from Alexandria via LeMat-Bulk describes crystalline TmPuGa3 at its relaxed geometry. The functional is GGA-PBE.

Calculated values
As for the formation energy: -0.431 eV/atom. The value obtained for the volume is 111.0 Å³/f.u. The symmetry is Cmcm. As for the uncorrected energy: -0.4415 Ry/atom.

Cell: 13.0373 13.0373 4.1889 Å, 90.00 90.00 161.83°
With the nearest neighbours (Å) after each atom.
Positions (direct):
Tm  0.2050  0.7950  0.7500  7 Ga 2.99-3.02
Tm  0.7950  0.2050  0.2500  7 Ga 2.99-3.02
Pu  0.0742  0.9258  0.2500  12 Ga 3.17-3.37
Pu  0.9258  0.0742  0.7500  12 Ga 3.17-3.37
Ga  0.3220  0.6780  0.7500  2 Ga 2.56
Ga  0.3793  0.6207  0.2500  3 Ga 2.48-2.56
Ga  0.4756  0.5244  0.2500  3 Ga 2.44-2.48
Ga  0.5244  0.4756  0.7500  3 Ga 2.44-2.48
Ga  0.6207  0.3793  0.7500  3 Ga 2.48-2.56
Ga  0.6780  0.3220  0.2500  2 Ga 2.56

This record from Alexandria via LeMat-Bulk describes crystalline Rb2TlCuBr6 at its relaxed geometry. The functional is GGA-PBE.

Calculated values
The uncorrected formation energy comes out at -0.9653 eV per atom. The value obtained for the volume is 331.4 Å³/f.u. As for the energy relative to the lowest polymorph listed for this composition: 0.005 eV/atom. The symmetry is Fm-3m. As for the uncorrected energy: -0.2064 Ry/atom.

Cell: 7.7675 7.7675 7.7675 Å, 60.00 60.00 60.00°
With the nearest neighbours (Å) after each atom.
Positions (direct):
Rb  0.2500  0.2500  0.2500  12 Br 3.89
Rb  0.7500  0.7500  0.7500  12 Br 3.89
Tl  0.0000  0.0000  0.0000  6 Br 2.89
Cu  0.5000  0.5000  0.5000  6 Br 2.60
Br  0.2631  0.2631  0.7369  1 Cu 2.60, 1 Tl 2.89
Br  0.2631  0.7369  0.2631  1 Cu 2.60, 1 Tl 2.89
Br  0.2631  0.7369  0.7369  1 Cu 2.60, 1 Tl 2.89
Br  0.7369  0.2631  0.2631  1 Cu 2.60, 1 Tl 2.89
Br  0.7369  0.2631  0.7369  1 Cu 2.60, 1 Tl 2.89
Br  0.7369  0.7369  0.2631  1 Cu 2.60, 1 Tl 2.89